{"formula": "Co3OF5", "functional": "PBE with a Hubbard U", "state": "optimized geometry", "mass_density_g_cm3": 4.6, "relative_energy_ev_per_fu": 0.20, "total_magnetization_mub_per_fu": 8.972, "spacegroup": "No. 1", "lattice_angstrom": [[5.679, 0.000, 0.000], [1.851, 5.379, 0.000], [2.171, 1.497, 6.830]], "species": ["Co", "Co", "Co", "Co", "Co", "Co", "O", "O", "F", "F", "F", "F", "F", "F", "F", "F", "F", "F"], "frac_coords": [[0.000, 0.000, 0.000], [0.012, 0.018, 0.499], [0.326, 0.339, 0.170], [0.355, 0.350, 0.669], [0.673, 0.663, 0.820], [0.701, 0.638, 0.349], [0.591, 0.570, 0.615], [0.973, 0.376, 0.336], [0.045, 0.653, 0.670], [0.118, 0.115, 0.701], [0.233, 0.232, 0.970], [0.306, 0.695, 0.990], [0.391, 0.958, 0.331], [0.445, 0.439, 0.362], [0.651, 0.034, 0.672], [0.693, 0.302, 0.998], [0.767, 0.754, 0.048], [0.907, 0.901, 0.302]]}